The following is a GGA-PBE calculation of Er3Tm3Al after structural relaxation, from Alexandria.

Unit cell a=8.585 b=5.370 c=9.507 alpha=90.00 beta=115.89 gamma=90.00
Element x y z (fractional)
Er  0.017  0.250  0.084
Er  0.107  0.750  0.639
Er  0.395  0.750  0.029
Er  0.605  0.250  0.971
Er  0.893  0.250  0.361
Er  0.983  0.750  0.916
Tm  0.220  0.750  0.333
Tm  0.327  0.250  0.583
Tm  0.443  0.250  0.270
Tm  0.557  0.750  0.730
Tm  0.673  0.750  0.417
Tm  0.780  0.250  0.667
Al  0.192  0.250  0.859
Al  0.808  0.750  0.141

Values from the calculation:
DOS(E_F)	1.27	states/eV/atom
formation enthalpy at 0 K	-0.406	eV per formula unit
E_tot	-0.32814	Ry per atom
space-group type	P2_1/m (11)